LaHoScIn | PBE | relaxed

Properties
SG	F-43m, No. 216
magnetization	1.16	Bohr magnetons per cell
total energy	-4.8116	eV/atom
energy relative to the elements	-3.9	kcal/mol of atoms
D(E_F)	4.8	states/eV/cell

Unit cell a=5.444 b=5.444 c=5.444 alpha=60.00 beta=60.00 gamma=60.00
Fractional positions:
Ho  0.250  0.250  0.250
In  0.500  0.500  0.500
La  0.750  0.750  0.750
Sc  0.000  0.000  0.000


Cs2NaCCl6 | PBE | relaxed

Properties
SG	Fm-3m, No. 225
magnetization	0.00	Bohr magnetons per cell
total energy	-3.0389	eV/atom
ΔE_f (raw)	-0.71	eV/atom
D(E_F)	7.6	states/eV/cell

Unit cell a=7.268 b=7.268 c=7.267 alpha=60.00 beta=60.00 gamma=90.00
Fractional positions:
Cl  0.281  0.281  0.000
Cl  0.720  0.720  0.561
Cl  0.719  0.719  0.000
Cl  0.719  0.281  0.000
Cl  0.281  0.719  0.000
Cl  0.280  0.280  0.439
Na  0.000  0.000  0.000
Cs  0.250  0.750  0.500
Cs  0.750  0.250  0.500
C  0.500  0.500  0.000


Sm6ErTm2 | PBE | relaxed

Properties
distance to the lowest polymorph of the same formula	154	meV per atom
SG	C2/m, No. 12
magnetization	0.00	Bohr magnetons per cell
total energy	-4.4302	eV/atom
energy relative to the elements	5.0	kcal/mol of atoms
D(E_F)	13.2	states/eV/cell

Unit cell a=6.014 b=7.605 c=7.605 alpha=59.99 beta=90.02 gamma=90.02
Fractional positions:
Tm  0.781  0.666  0.666
Tm  0.219  0.334  0.334
Sm  0.716  0.189  0.189
Sm  0.284  0.811  0.811
Sm  0.714  0.188  0.621
Sm  0.286  0.379  0.812
Sm  0.714  0.621  0.188
Sm  0.286  0.812  0.379
Er  0.000  0.000  0.000


KNa2AlI | PBE | relaxed

Properties
SG	P4/mmm, No. 123
magnetization	0.00	Bohr magnetons per cell
total energy	-1.4699	eV/atom
ΔE_f (raw)	0.34	eV/atom
D(E_F)	4.3	states/eV/cell

Unit cell a=6.526 b=6.205 c=6.526 alpha=90.00 beta=90.00 gamma=90.00
Fractional positions:
I  0.000  0.500  0.000
Na  0.000  0.000  0.500
Na  0.500  0.000  0.000
Al  0.500  0.500  0.500
K  0.000  0.000  0.000


CdFeHg2 | PBE | relaxed

Properties
SG	P2/m, No. 10
magnetization	2.83	Bohr magnetons per cell
total energy	-2.1844	eV/atom
energy relative to the elements	7.2	kcal/mol of atoms
D(E_F)	2.4	states/eV/cell

Unit cell a=3.034 b=3.133 c=8.894 alpha=68.86 beta=90.00 gamma=90.00
Fractional positions:
Hg  0.000  0.026  0.970
Hg  0.000  0.474  0.530
Fe  0.500  0.750  0.750
Cd  0.500  0.250  0.250


Al5Pb | PBE | relaxed

Properties
distance to the lowest polymorph of the same formula	30	meV per atom
SG	Amm2, No. 38
magnetization	0.00	Bohr magnetons per cell
total energy	-3.5644	eV/atom
energy relative to the elements	4.0	kcal/mol of atoms
D(E_F)	2.7	states/eV/cell

Unit cell a=8.637 b=8.637 c=4.290 alpha=90.00 beta=90.00 gamma=157.07
Fractional positions:
Al  0.436  0.564  0.500
Al  0.331  0.669  0.000
Al  0.700  0.300  0.000
Al  0.963  0.037  0.000
Al  0.802  0.198  0.500
Pb  0.101  0.899  0.500


RbMnN3 | PBE | relaxed

Properties
SG	Pm-3m, No. 221
magnetization	0.69	Bohr magnetons per cell
total energy	-3.1368	eV/atom
ΔE_f (raw)	3.89	eV/atom
D(E_F)	6.2	states/eV/cell

Unit cell a=4.166 b=4.166 c=4.166 alpha=90.00 beta=90.00 gamma=90.00
Fractional positions:
N  0.500  0.000  0.000
N  0.000  0.000  0.500
N  0.000  0.500  0.000
Mn  0.500  0.500  0.500
Rb  0.000  0.000  0.000


La4Y4Er3 | PBE | relaxed

Properties
SG	Immm, No. 71
magnetization	0.00	Bohr magnetons per cell
total energy	-5.2642	eV/atom
energy relative to the elements	2.8	kcal/mol of atoms
D(E_F)	19.7	states/eV/cell

Unit cell a=3.624 b=9.440 c=12.236 alpha=112.69 beta=98.52 gamma=90.00
Fractional positions:
Y  0.736  0.236  0.471
Y  0.264  0.764  0.529
Y  0.500  0.183  0.000
Y  0.500  0.817  0.000
Er  0.000  0.500  0.000
Er  0.895  0.895  0.789
Er  0.105  0.105  0.211
La  0.643  0.474  0.286
La  0.357  0.526  0.714
La  0.357  0.188  0.714
La  0.643  0.812  0.286


Rb3Pu2PbS6 | PBE | relaxed

Properties
SG	C2/m, No. 12
magnetization	9.00	Bohr magnetons per cell
total energy	-6.3333	eV/atom
ΔE_f (raw)	-1.33	eV/atom
D(E_F)	20.3	states/eV/cell

Unit cell a=7.264 b=7.264 c=7.998 alpha=98.72 beta=98.72 gamma=119.96
Fractional positions:
S  0.424  0.065  0.194
S  0.935  0.576  0.806
S  0.706  0.706  0.192
S  0.065  0.424  0.194
S  0.294  0.294  0.808
S  0.576  0.935  0.806
Rb  0.841  0.159  0.500
Rb  0.159  0.841  0.500
Rb  0.500  0.500  0.500
Pb  0.000  0.000  0.000
Pu  0.667  0.333  0.000
Pu  0.333  0.667  0.000


KLa2Si | PBE | relaxed

Properties
SG	P4mm, No. 99
magnetization	0.00	Bohr magnetons per cell
total energy	-4.0045	eV/atom
ΔE_f (raw)	0.09	eV/atom
D(E_F)	3.3	states/eV/cell

Unit cell a=3.632 b=3.632 c=10.825 alpha=90.00 beta=90.00 gamma=89.98
Fractional positions:
La  0.000  0.000  0.037
La  0.500  0.500  0.310
Si  0.000  0.000  0.469
K  0.500  0.500  0.685


LaSc2Nb | PBE | relaxed

Properties
distance to the lowest polymorph of the same formula	80	meV per atom
SG	Fm-3m, No. 225
magnetization	0.00	Bohr magnetons per cell
total energy	-6.6637	eV/atom
energy relative to the elements	5.8	kcal/mol of atoms
D(E_F)	2.7	states/eV/cell

Unit cell a=5.144 b=5.144 c=5.144 alpha=60.00 beta=60.00 gamma=60.00
Fractional positions:
Sc  0.250  0.250  0.250
Sc  0.750  0.750  0.750
Nb  0.000  0.000  0.000
La  0.500  0.500  0.500


AlPt4 | PBE | relaxed

Properties
distance to the lowest polymorph of the same formula	0	meV per atom
SG	Imma, No. 74
magnetization	0.00	Bohr magnetons per cell
total energy	-6.0587	eV/atom
energy relative to the elements	-11.0	kcal/mol of atoms
D(E_F)	5.2	states/eV/cell

Unit cell a=3.984 b=5.481 c=7.906 alpha=110.28 beta=104.59 gamma=90.00
Fractional positions:
Pt  0.500  0.000  0.000
Pt  0.311  0.309  0.622
Pt  0.904  0.654  0.809
Pt  0.689  0.691  0.378
Pt  0.311  0.813  0.622
Pt  0.689  0.187  0.378
Pt  0.500  0.500  0.000
Pt  0.096  0.346  0.191
Al  0.898  0.148  0.795
Al  0.102  0.852  0.205